[1]
Entry from the Alexandria database: a PBEsol-optimized structure of Mn4PtBr (SCAN).

Summary:
total magnetic moment: 43.175 μB per cell
formation energy from raw total energies: 0.637 eV per atom

Lattice parameters (Å, degrees): 6.7775 6.7775 6.7775 90.00 90.00 90.00
Closest atoms and distances in Å follow each position.
Space group F-43m (No. 216)
One atom of each set of equivalent atoms:
Mn 0.1244 0.1244 0.3756 (multiplicity 16)  6 Mn 2.39-2.41
Pt 0.2500 0.2500 0.7500 (multiplicity 4)  12 Mn 2.81, 4 Br 2.93
Br 0.0000 0.0000 0.0000 (multiplicity 4)  12 Mn 2.81, 4 Pt 2.93

[2]
Entry from the Alexandria database: a PBEsol-optimized structure of YAgIr (SCAN).

Summary:
total magnetic moment: 0.000 μB per cell
energy of formation from the pure elements: -89 kJ/mol of formula units
excess energy over the best structure of this formula in the dataset: 0.00 kJ/mol of atoms

Lattice parameters (Å, degrees): 3.5074 3.5074 9.1733 90.00 90.00 90.00
Closest atoms and distances in Å follow each position.
Space group I4mm (No. 107)
One atom of each set of equivalent atoms:
Y 0.0000 0.0000 0.0000 (multiplicity 2)  5 Ir 2.87-3.14, 5 Ag 2.90-3.00
Ag 0.0000 0.0000 0.6842 (multiplicity 2)  5 Ir 2.87-3.14, 5 Y 2.90-3.00
Ir 0.0000 0.0000 0.3419 (multiplicity 2)  5 Ag 2.87-3.14, 5 Y 2.87-3.14

[3]
Entry from the Alexandria database: a PBEsol-optimized structure of CuTcAsBr2 (SCAN).

Summary:
total magnetic moment: 4.212 μB per cell
formation energy from raw total energies: 0.828 eV per atom

Lattice parameters (Å, degrees): 4.7585 4.7585 4.9025 90.00 90.00 90.00
Closest atoms and distances in Å follow each position.
Space group P4/mmm (No. 123)
One atom of each set of equivalent atoms:
Cu 0.0000 0.0000 0.0000 (multiplicity 1)  4 Br 2.38, 2 As 2.45
Tc 0.5000 0.5000 0.5000 (multiplicity 1)  4 As 3.36, 8 Br 3.42
As 0.0000 0.0000 0.5000 (multiplicity 1)  2 Cu 2.45
Br 0.0000 0.5000 0.0000 (multiplicity 2)  2 Cu 2.38

[4]
Entry from the Alexandria database: a PBEsol-optimized structure of NaCaLa2N (SCAN).

Summary:
total magnetic moment: 0.928 μB per cell
formation energy from raw total energies: 1.796 eV per atom

Lattice parameters (Å, degrees): 5.5776 5.5776 4.9091 90.00 90.00 90.00
Closest atoms and distances in Å follow each position.
Space group P4/mmm (No. 123)
One atom of each set of equivalent atoms:
Na 0.0000 0.0000 0.0000 (multiplicity 1)  2 Ca 2.45
Ca 0.0000 0.0000 0.5000 (multiplicity 1)  2 Na 2.45
La 0.0000 0.5000 0.5000 (multiplicity 2)  2 Ca 2.79
N 0.5000 0.5000 0.0000 (multiplicity 1)  8 La 3.72, 4 Na 3.94

[5]
Entry from the Alexandria database: a PBEsol-optimized structure of Re2SiP (SCAN).

Summary:
total magnetic moment: 0.000 μB per cell
formation energy from raw total energies: 0.327 eV per atom
excess energy over the best structure of this formula in the dataset: 23.20 kJ/mol of atoms

Lattice parameters (Å, degrees): 2.9139 4.8500 7.8359 90.00 90.00 90.00
Closest atoms and distances in Å follow each position.
Space group Immm (No. 71)
One atom of each set of equivalent atoms:
Re 0.0000 0.0000 0.2323 (multiplicity 4)  2 P 2.33, 2 Si 2.55
Si 0.0000 0.5000 0.0000 (multiplicity 2)  4 Re 2.55, 4 P 2.83
P 0.0000 0.5000 0.5000 (multiplicity 2)  4 Re 2.33

[6]
Entry from the Alexandria database: a PBEsol-optimized structure of NbSnPS2 (SCAN).

Summary:
total magnetic moment: 0.000 μB per cell
formation energy from raw total energies: -0.149 eV per atom

Lattice parameters (Å, degrees): 4.7401 4.7401 4.8959 90.00 90.00 90.00
Closest atoms and distances in Å follow each position.
Space group P4/mmm (No. 123)
One atom of each set of equivalent atoms:
Nb 0.0000 0.0000 0.0000 (multiplicity 1)  4 S 2.37, 2 P 2.45
Sn 0.5000 0.5000 0.5000 (multiplicity 1)  4 P 3.35, 8 S 3.41
P 0.0000 0.0000 0.5000 (multiplicity 1)  2 Nb 2.45
S 0.0000 0.5000 0.0000 (multiplicity 2)  2 Nb 2.37

[7]
Entry from the Alexandria database: a PBEsol-optimized structure of Ir2PbAu (SCAN).

Summary:
total magnetic moment: 0.000 μB per cell
energy of formation from the pure elements: 219 kJ/mol of formula units

Lattice parameters (Å, degrees): 4.1603 4.1603 3.8563 90.00 90.00 90.00
Closest atoms and distances in Å follow each position.
Space group P4/mmm (No. 123)
One atom of each set of equivalent atoms:
Ir 0.0000 0.5000 0.0000 (multiplicity 2)  4 Pb 2.84, 4 Au 2.84, 4 Ir 2.94
Pb 0.0000 0.0000 0.5000 (multiplicity 1)  8 Ir 2.84, 4 Au 2.94
Au 0.5000 0.5000 0.5000 (multiplicity 1)  8 Ir 2.84, 4 Pb 2.94

[8]
Entry from the Alexandria database: a PBEsol-optimized structure of ScAlSnF2 (SCAN).

Summary:
total magnetic moment: 0.000 μB per cell
formation energy from raw total energies: -0.965 eV per atom

Lattice parameters (Å, degrees): 4.3096 4.3096 5.5883 90.00 90.00 90.00
Closest atoms and distances in Å follow each position.
Space group P4/mmm (No. 123)
One atom of each set of equivalent atoms:
Sc 0.0000 0.0000 0.0000 (multiplicity 1)  4 Al 3.05
Al 0.5000 0.5000 0.0000 (multiplicity 1)  2 Sn 2.79, 4 Sc 3.05
Sn 0.5000 0.5000 0.5000 (multiplicity 1)  4 F 2.15
F 0.0000 0.5000 0.5000 (multiplicity 2)  2 Sn 2.15

[9]
Entry from the Alexandria database: a PBEsol-optimized structure of YCrOs2 (SCAN).

Summary:
total magnetic moment: 0.011 μB per cell
energy of formation from the pure elements: 182 kJ/mol of formula units
excess energy over the best structure of this formula in the dataset: 24.72 kJ/mol of atoms

Lattice parameters (Å, degrees): 2.7870 2.7870 27.5126 90.00 90.00 120.00
Closest atoms and distances in Å follow each position.
Space group R-3m (No. 166, hexagonal axes)
One atom of each set of equivalent atoms:
Y 0.0000 0.0000 0.0000 (multiplicity 3)  6 Y 2.79, 6 Os 3.08
Cr 0.0000 0.0000 0.5000 (multiplicity 3)  6 Os 2.54, 6 Cr 2.79
Os 0.0000 0.0000 0.2381 (multiplicity 6)  3 Cr 2.54, 6 Os 2.79

[10]
Entry from the Alexandria database: a PBEsol-optimized structure of ScCoMo2 (SCAN).

Summary:
total magnetic moment: 2.117 μB per cell
energy of formation from the pure elements: 18 kJ/mol of formula units
excess energy over the best structure of this formula in the dataset: 0.00 kJ/mol of atoms

Lattice parameters (Å, degrees): 6.1712 6.1712 6.1712 90.00 90.00 90.00
Closest atoms and distances in Å follow each position.
Space group F-43m (No. 216)
One atom of each set of equivalent atoms:
Sc 0.0000 0.0000 0.0000 (multiplicity 4)  4 Mo 2.67, 4 Co 2.67
Co 0.2500 0.2500 0.7500 (multiplicity 4)  4 Sc 2.67, 4 Mo 2.67
Mo 0.0000 0.0000 0.5000 (multiplicity 4)  4 Mo 2.67, 4 Co 2.67
Mo 0.2500 0.2500 0.2500 (multiplicity 4)  4 Mo 2.67, 4 Sc 2.67

[11]
Entry from the Alexandria database: a PBEsol-optimized structure of CdAgAu2 (SCAN).

Summary:
total magnetic moment: 0.000 μB per cell
energy of formation from the pure elements: -63 kJ/mol of formula units

Lattice parameters (Å, degrees): 2.9919 4.0011 5.8009 90.00 90.00 90.00
Closest atoms and distances in Å follow each position.
Space group Pmmm (No. 47)
One atom of each set of equivalent atoms:
Cd 0.0000 0.0000 0.0000 (multiplicity 1)  8 Au 2.90, 2 Ag 2.90, 2 Cd 2.99
Ag 0.0000 0.0000 0.5000 (multiplicity 1)  8 Au 2.88, 2 Cd 2.90, 2 Ag 2.99
Au 0.5000 0.5000 0.2535 (multiplicity 2)  4 Au 2.86-2.99, 4 Ag 2.88, 4 Cd 2.90

[12]
Entry from the Alexandria database: a PBEsol-optimized structure of NbTeI3 (SCAN).

Summary:
total magnetic moment: 4.198 μB per cell
formation energy from raw total energies: 0.920 eV per atom

Lattice parameters (Å, degrees): 5.8854 5.8854 5.8854 90.00 90.00 90.00
Closest atoms and distances in Å follow each position.
Space group Pm-3m (No. 221)
One atom of each set of equivalent atoms:
Nb 0.0000 0.0000 0.0000 (multiplicity 1)  12 I 4.16
Te 0.5000 0.5000 0.5000 (multiplicity 1)  6 I 2.94
I 0.0000 0.5000 0.5000 (multiplicity 3)  2 Te 2.94

> total magnetic moment of number 3 (CuTcAsBr2)?

4.212 μB per cell